Cs2CdSn3Se8 | PBE | relaxed

Cell: 8.1358 13.3822 18.8653 Å, 90.00 90.00 90.00°
Sites, in units of the cell vectors:
Cs1 0.2421 0.1972 0.1585
Cs2 0.2498 0.1273 0.5514
Cs3 0.2502 0.8727 0.0514
Cs4 0.2579 0.8028 0.6585
Cs5 0.7421 0.3028 0.8415
Cs6 0.7498 0.3727 0.4486
Cs7 0.7502 0.6273 0.9486
Cs8 0.7579 0.6972 0.3415
Cd1 0.0191 0.9984 0.3473
Cd2 0.4809 0.0016 0.8473
Cd3 0.5191 0.5016 0.6527
Cd4 0.9809 0.4984 0.1527
Sn1 0.0117 0.4791 0.6525
Sn2 0.2319 0.4330 0.9837
Sn3 0.2359 0.4464 0.3218
Sn4 0.2641 0.5536 0.8218
Sn5 0.2681 0.5670 0.4837
Sn6 0.4883 0.5209 0.1525
Sn7 0.5117 0.0209 0.3475
Sn8 0.7319 0.0670 0.0163
Sn9 0.7359 0.0536 0.6782
Sn10 0.7641 0.9464 0.1782
Sn11 0.7681 0.9330 0.5163
Sn12 0.9883 0.9791 0.8475
Se1 0.0027 0.1096 0.9513
Se2 0.0087 0.1012 0.7391
Se3 0.0243 0.8797 0.2315
Se4 0.0314 0.8748 0.4605
Se5 0.2330 0.6272 0.1567
Se6 0.2344 0.6223 0.9510
Se7 0.2372 0.8664 0.8521
Se8 0.2379 0.6351 0.3553
Se9 0.2621 0.3649 0.8553
Se10 0.2628 0.1336 0.3521
Se11 0.2656 0.3777 0.4510
Se12 0.2670 0.3728 0.6567
Se13 0.4686 0.1252 0.9605
Se14 0.4757 0.1203 0.7315
Se15 0.4913 0.8988 0.2391
Se16 0.4973 0.8904 0.4513
Se17 0.5027 0.3904 0.0487
Se18 0.5087 0.3988 0.2609
Se19 0.5243 0.6203 0.7685
Se20 0.5314 0.6252 0.5395
Se21 0.7330 0.8728 0.8433
Se22 0.7344 0.8777 0.0490
Se23 0.7372 0.6336 0.1479
Se24 0.7379 0.8649 0.6447
Se25 0.7621 0.1351 0.1447
Se26 0.7628 0.3664 0.6479
Se27 0.7656 0.1223 0.5490
Se28 0.7670 0.1272 0.3433
Se29 0.9686 0.3748 0.0395
Se30 0.9757 0.3797 0.2685
Se31 0.9913 0.6012 0.7609
Se32 0.9973 0.6096 0.5487

Space group: No. 19
Calculated volume (Å³/atom): 36.678
Final energy (eV/atom): -3.713